No. 1
The following is a PBE calculation of a relaxed structure of Ba2TiGaO6, from Alexandria via LeMat-Bulk.

a = 5.724 Å, b = 5.725 Å, c = 5.723 Å
α = 60.02°, β = 60.02°, γ = 89.99°
Each line ends with the local moment (μB).
Sites, in units of the cell vectors:
O (0.247, 0.753, 0.000)  0.15
O (0.753, 0.247, 0.000)  0.15
O (0.247, 0.247, 0.000)  0.15
O (0.753, 0.753, 0.494)  0.15
O (0.753, 0.753, 0.000)  0.15
O (0.247, 0.247, 0.506)  0.15
Ti (0.000, 0.000, 0.000)  -0.06
Ba (0.250, 0.750, 0.500)  0.00
Ba (0.750, 0.250, 0.500)  0.00
Ga (0.500, 0.500, 0.000)  -0.01

Properties
**Volume**: 13.270 A^3/atom
**Symmetry**: Fm-3m



No. 2
The following is a PBE calculation of a relaxed structure of BaTlGaO4, from Alexandria via LeMat-Bulk.

a = 5.809 Å, b = 5.957 Å, c = 7.183 Å
α = 90.00°, β = 107.33°, γ = 90.00°
Sites, in units of the cell vectors:
Ga (0.733, 0.250, 0.667)
Ga (0.267, 0.750, 0.333)
O (0.502, 0.250, 0.428)
O (0.971, 0.479, 0.703)
O (0.971, 0.021, 0.703)
O (0.558, 0.250, 0.844)
O (0.029, 0.979, 0.297)
O (0.498, 0.750, 0.572)
O (0.442, 0.750, 0.156)
O (0.029, 0.521, 0.297)
Tl (0.188, 0.250, 0.544)
Tl (0.812, 0.750, 0.456)
Ba (0.280, 0.250, 0.064)
Ba (0.720, 0.750, 0.936)

Properties
**Volume**: 16.949 A^3/atom
**Symmetry**: P2_1/m



No. 3
The following is a PBE calculation of a relaxed structure of Ba2TlGaO5, from Alexandria via LeMat-Bulk.

a = 3.501 Å, b = 8.119 Å, c = 11.083 Å
α = 90.00°, β = 90.00°, γ = 102.45°
Sites, in units of the cell vectors:
O (0.501, 0.002, 0.793)
O (0.289, 0.579, 0.660)
O (0.648, 0.295, 0.500)
O (0.352, 0.705, 0.000)
O (0.670, 0.341, 0.894)
O (0.958, 0.916, 0.520)
O (0.499, 0.998, 0.293)
O (0.330, 0.659, 0.394)
O (0.711, 0.421, 0.160)
O (0.042, 0.084, 0.020)
Ba (0.110, 0.221, 0.679)
Ba (0.873, 0.746, 0.813)
Ba (0.127, 0.254, 0.313)
Ba (0.890, 0.779, 0.179)
Tl (0.786, 0.571, 0.525)
Tl (0.214, 0.429, 0.025)
Ga (0.554, 0.107, 0.941)
Ga (0.446, 0.893, 0.441)

Properties
**Volume**: 17.090 A^3/atom
**Symmetry**: Cmc2_1



No. 4
The following is a PBE calculation of a relaxed structure of Ba3TlGa2O8, from Alexandria via LeMat-Bulk.

a = 5.984 Å, b = 5.984 Å, c = 7.663 Å
α = 90.00°, β = 90.00°, γ = 120.00°
Each line ends with the local moment (μB).
Sites, in units of the cell vectors:
Ba (0.000, 0.000, 0.000)  0.00
Ba (0.333, 0.667, 0.655)  0.00
Ba (0.667, 0.333, 0.345)  0.00
Tl (0.000, 0.000, 0.500)  0.01
O (0.168, 0.335, 0.312)  0.04
O (0.333, 0.667, 0.981)  0.25
O (0.335, 0.168, 0.688)  0.04
O (0.832, 0.665, 0.688)  0.04
O (0.168, 0.832, 0.312)  0.04
O (0.665, 0.832, 0.312)  0.04
O (0.667, 0.333, 0.019)  0.25
O (0.832, 0.168, 0.688)  0.04
Ga (0.667, 0.333, 0.783)  0.00
Ga (0.333, 0.667, 0.217)  0.00

Properties
**Volume**: 16.978 A^3/atom
**Symmetry**: P-3m1



No. 5
The following is a PBE calculation of a relaxed structure of BaTm4Ga3O12, from Alexandria via LeMat-Bulk.

a = 7.038 Å, b = 7.038 Å, c = 7.038 Å
α = 109.47°, β = 109.47°, γ = 109.47°
Each line ends with the local moment (μB).
Sites, in units of the cell vectors:
Ga (0.500, 0.500, 0.000)  -0.01
Ga (0.500, 0.000, 0.500)  -0.01
Ga (0.000, 0.500, 0.500)  -0.01
O (0.839, 0.164, 0.325)  0.08
O (0.675, 0.161, 0.836)  0.08
O (0.164, 0.325, 0.839)  0.08
O (0.839, 0.514, 0.675)  0.08
O (0.675, 0.839, 0.514)  0.08
O (0.325, 0.839, 0.164)  0.08
O (0.161, 0.486, 0.325)  0.08
O (0.514, 0.675, 0.839)  0.08
O (0.836, 0.675, 0.161)  0.08
O (0.161, 0.836, 0.675)  0.08
O (0.486, 0.325, 0.161)  0.08
O (0.325, 0.161, 0.486)  0.08
Tm (0.500, 0.500, 0.500)  -0.01
Tm (0.000, 0.000, 0.500)  -0.01
Tm (0.000, 0.500, 0.000)  -0.01
Tm (0.500, 0.000, 0.000)  -0.01
Ba (0.000, 0.000, 0.000)  0.00

Properties
**Volume**: 13.418 A^3/atom
**Symmetry**: Im-3



No. 6
The following is a PBE calculation of a relaxed structure of Ba3TmGa2O8, from Alexandria via LeMat-Bulk.

a = 5.977 Å, b = 5.977 Å, c = 7.627 Å
α = 90.00°, β = 90.00°, γ = 120.00°
Each line ends with the local moment (μB).
Sites, in units of the cell vectors:
Ba (0.333, 0.667, 0.655)  0.00
Ba (0.667, 0.333, 0.345)  0.00
Ba (0.000, 0.000, 0.000)  0.00
Ga (0.333, 0.667, 0.222)  0.00
Ga (0.667, 0.333, 0.778)  0.00
O (0.832, 0.168, 0.678)  0.06
O (0.667, 0.333, 0.016)  0.26
O (0.832, 0.663, 0.678)  0.06
O (0.663, 0.832, 0.322)  0.06
O (0.337, 0.168, 0.678)  0.06
O (0.333, 0.667, 0.984)  0.26
O (0.168, 0.337, 0.322)  0.06
O (0.168, 0.832, 0.322)  0.06
Tm (0.000, 0.000, 0.500)  0.00

Properties
**Volume**: 16.858 A^3/atom
**Symmetry**: P-3m1



No. 7
The following is a PBE calculation of a relaxed structure of BaTm3Ga4O12, from Alexandria via LeMat-Bulk.

a = 7.188 Å, b = 7.188 Å, c = 7.188 Å
α = 106.51°, β = 106.51°, γ = 106.51°
Each line ends with the local moment (μB).
Sites, in units of the cell vectors:
Tm (0.554, 0.446, 0.000)  -0.01
Tm (0.000, 0.554, 0.446)  -0.01
Tm (0.446, 0.000, 0.554)  -0.01
O (0.356, 0.961, 0.223)  0.08
O (0.039, 0.644, 0.777)  0.08
O (0.644, 0.777, 0.039)  0.08
O (0.344, 0.656, 0.500)  0.05
O (0.961, 0.223, 0.356)  0.08
O (0.223, 0.356, 0.961)  0.08
O (0.500, 0.344, 0.656)  0.05
O (0.500, 0.101, 0.899)  0.13
O (0.656, 0.500, 0.344)  0.05
O (0.899, 0.500, 0.101)  0.13
O (0.777, 0.039, 0.644)  0.08
O (0.101, 0.899, 0.500)  0.13
Ga (0.056, 0.500, 0.944)  0.00
Ga (0.500, 0.944, 0.056)  0.00
Ga (0.500, 0.500, 0.500)  0.00
Ga (0.944, 0.056, 0.500)  0.00
Ba (0.000, 0.000, 0.000)  0.00

Properties
**Volume**: 15.668 A^3/atom
**Symmetry**: R32



No. 8
The following is a PBE calculation of a relaxed structure of BaTmGaO4, from Alexandria via LeMat-Bulk.

a = 5.722 Å, b = 5.824 Å, c = 7.230 Å
α = 90.00°, β = 108.54°, γ = 90.00°
Sites, in units of the cell vectors:
O (0.026, 0.986, 0.307)
O (0.506, 0.250, 0.421)
O (0.461, 0.750, 0.176)
O (0.539, 0.250, 0.824)
O (0.026, 0.514, 0.307)
O (0.974, 0.014, 0.693)
O (0.494, 0.750, 0.579)
O (0.974, 0.486, 0.693)
Ba (0.284, 0.250, 0.064)
Ba (0.716, 0.750, 0.936)
Ga (0.263, 0.750, 0.336)
Ga (0.737, 0.250, 0.664)
Tm (0.810, 0.750, 0.464)
Tm (0.190, 0.250, 0.536)

Properties
**Volume**: 16.317 A^3/atom
**Symmetry**: P2_1/m



No. 9
The following is a PBE calculation of a relaxed structure of BaUGaO5, from Alexandria via LeMat-Bulk.

a = 6.187 Å, b = 6.187 Å, c = 8.028 Å
α = 103.94°, β = 103.94°, γ = 106.64°
Each line ends with the local moment (μB).
Sites, in units of the cell vectors:
O (0.068, 0.932, 0.250)  -0.03
O (0.296, 0.886, 0.607)  -0.02
O (0.629, 0.762, 0.901)  -0.02
O (0.371, 0.238, 0.099)  -0.02
O (0.704, 0.114, 0.393)  -0.02
O (0.932, 0.068, 0.750)  -0.03
O (0.114, 0.704, 0.893)  -0.02
O (0.886, 0.296, 0.107)  -0.02
O (0.238, 0.371, 0.599)  -0.02
O (0.762, 0.629, 0.401)  -0.02
Ba (0.666, 0.334, 0.750)  0.00
Ba (0.334, 0.666, 0.250)  0.00
Ga (0.313, 0.687, 0.750)  -0.01
Ga (0.687, 0.313, 0.250)  -0.01
U (0.000, 0.000, 0.500)  1.07
U (0.000, 0.000, 0.000)  1.07

Properties
**Volume**: 16.839 A^3/atom
**Symmetry**: C2/c



No. 10
The following is a PBE calculation of a relaxed structure of BaU2GaO8, from Alexandria via LeMat-Bulk.

a = 5.168 Å, b = 5.170 Å, c = 7.083 Å
α = 89.93°, β = 89.94°, γ = 83.52°
Each line ends with the local moment (μB).
Sites, in units of the cell vectors:
Ba (0.000, 0.000, 0.500)  0.00
O (0.672, 0.673, 0.000)  -0.02
O (0.203, 0.796, 0.805)  -0.01
O (0.203, 0.796, 0.195)  -0.01
O (0.328, 0.327, 0.000)  -0.02
O (0.797, 0.204, 0.805)  -0.01
O (0.797, 0.204, 0.195)  -0.01
O (0.659, 0.660, 0.501)  -0.02
O (0.341, 0.340, 0.499)  -0.02
U (0.500, 0.500, 0.761)  0.56
U (0.500, 0.500, 0.239)  0.56
Ga (0.000, 0.000, 0.000)  0.00

Properties
**Volume**: 15.672 A^3/atom
**Symmetry**: C2/m



No. 11
The following is a PBE calculation of a relaxed structure of Ba4U3GaO12, from Alexandria via LeMat-Bulk.

a = 7.709 Å, b = 7.709 Å, c = 7.709 Å
α = 109.47°, β = 109.47°, γ = 109.47°
Each line ends with the local moment (μB).
Sites, in units of the cell vectors:
O (0.500, 0.250, 0.750)  -0.03
O (0.750, 0.500, 0.250)  -0.03
O (0.273, 0.273, 0.000)  -0.03
O (0.727, 0.000, 0.727)  -0.03
O (0.000, 0.273, 0.273)  -0.03
O (0.000, 0.727, 0.727)  -0.03
O (0.727, 0.727, 0.000)  -0.03
O (0.250, 0.500, 0.750)  -0.03
O (0.250, 0.750, 0.500)  -0.03
O (0.273, 0.000, 0.273)  -0.03
O (0.500, 0.750, 0.250)  -0.03
O (0.750, 0.250, 0.500)  -0.03
U (0.500, 0.500, 0.000)  1.04
U (0.500, 0.000, 0.500)  1.04
U (0.000, 0.500, 0.500)  1.04
Ba (0.000, 0.500, 0.000)  0.01
Ba (0.500, 0.000, 0.000)  0.01
Ba (0.500, 0.500, 0.500)  0.01
Ba (0.000, 0.000, 0.500)  0.01
Ga (0.000, 0.000, 0.000)  -0.01

Properties
**Volume**: 17.636 A^3/atom
**Symmetry**: Im-3m



No. 12
The following is a PBE calculation of a relaxed structure of BaUGaO6, from Alexandria via LeMat-Bulk.

a = 5.429 Å, b = 5.429 Å, c = 11.724 Å
α = 90.00°, β = 90.00°, γ = 120.00°
Each line ends with the local moment (μB).
Sites, in units of the cell vectors:
O (0.381, 0.374, 0.347)  0.14
O (0.007, 0.381, 0.653)  0.14
O (0.374, 0.993, 0.653)  0.14
O (0.619, 0.993, 0.847)  0.14
O (0.619, 0.626, 0.653)  0.14
O (0.993, 0.374, 0.153)  0.14
O (0.007, 0.626, 0.847)  0.14
O (0.626, 0.619, 0.153)  0.14
O (0.626, 0.007, 0.347)  0.14
O (0.381, 0.007, 0.153)  0.14
O (0.374, 0.381, 0.847)  0.14
O (0.993, 0.619, 0.347)  0.14
Ga (0.667, 0.333, 0.250)  -0.01
Ga (0.333, 0.667, 0.750)  -0.01
Ba (0.000, 0.000, 0.500)  0.01
Ba (0.000, 0.000, 0.000)  0.01
U (0.667, 0.333, 0.750)  0.07
U (0.333, 0.667, 0.250)  0.07

Properties
**Volume**: 16.627 A^3/atom
**Symmetry**: P-31c



| no. | formation energy (no corrections) (eV per atom) | total moment (μB/atom) |
| --- | --- | --- |
| 1 | -2.4941 | 0.10 |
| 2 | -1.6465 | 0.00 |
| 3 | -1.8802 | 0.00 |
| 4 | -1.8874 | 0.07 |
| 5 | -2.6336 | 0.05 |
| 6 | -2.4647 | 0.07 |
| 7 | -2.4272 | 0.06 |
| 8 | -2.6934 | 0.00 |
| 9 | -2.7921 | 0.13 |
| 10 | -2.7419 | 0.08 |
| 11 | -2.9106 | 0.15 |
| 12 | -2.4472 | 0.12 |